(1)
First-principles (PBE) data for a geometry-optimized Tb2ErTmSb4 structure, as listed in Alexandria.

Computed properties:
Magnetic moment = 0.000 μB per formula unit
Crystal system = monoclinic
Energy relative to the elements, uncorrected = -1.1141 eV per atom

abc: 7.5720 4.3757 7.5739
angles: 90.00 109.48 90.00
Atoms (fractional coordinates):
Tb 0.0000 0.0000 0.0000
Tb 0.0000 0.5000 0.5000
Er 0.5000 0.0000 0.5000
Tm 0.5000 0.5000 0.0000
Sb 0.2543 0.0000 0.7519
Sb 0.2538 0.5000 0.2507
Sb 0.7457 0.0000 0.2481
Sb 0.7462 0.5000 0.7493

(2)
First-principles (PBE) data for a geometry-optimized TbEr2Tm3Sb6 structure, as listed in Alexandria.

Computed properties:
Magnetic moment = 0.000 μB per formula unit
Crystal system = monoclinic
Energy relative to the elements, uncorrected = -1.0897 eV per atom

abc: 9.7295 9.7295 8.7035
angles: 102.87 102.87 25.84
Atoms (fractional coordinates):
Tb 0.0000 0.0000 0.0000
Er 0.3330 0.3330 0.6666
Er 0.6670 0.6670 0.3334
Tm 0.0000 0.0000 0.5000
Tm 0.3339 0.3339 0.1671
Tm 0.6661 0.6661 0.8329
Sb 0.1663 0.1663 0.5838
Sb 0.1679 0.1679 0.0831
Sb 0.5001 0.5001 0.2532
Sb 0.4999 0.4999 0.7468
Sb 0.8321 0.8321 0.9169
Sb 0.8337 0.8337 0.4162

(3)
First-principles (PBE) data for a geometry-optimized TbEr3Tm2Sb6 structure, as listed in Alexandria.

Computed properties:
Magnetic moment = 0.000 μB per formula unit
Crystal system = monoclinic
Energy relative to the elements, uncorrected = -1.0940 eV per atom

abc: 9.7353 9.7353 8.7093
angles: 102.86 102.86 25.84
Atoms (fractional coordinates):
Tb 0.0000 0.0000 0.0000
Er 0.0000 0.0000 0.5000
Er 0.3340 0.3340 0.1672
Er 0.6660 0.6660 0.8328
Tm 0.3330 0.3330 0.6666
Tm 0.6670 0.6670 0.3334
Sb 0.1669 0.1669 0.5824
Sb 0.1677 0.1677 0.0846
Sb 0.4994 0.4994 0.7473
Sb 0.5006 0.5006 0.2527
Sb 0.8323 0.8323 0.9154
Sb 0.8331 0.8331 0.4176

(4)
First-principles (PBE) data for a geometry-optimized TbEr2TmSb4 structure, as listed in Alexandria.

Computed properties:
Magnetic moment = 0.000 μB per formula unit
Crystal system = monoclinic
Energy relative to the elements, uncorrected = -1.1000 eV per atom

abc: 7.5510 4.3632 7.5522
angles: 90.00 109.47 90.00
Atoms (fractional coordinates):
Tb 0.0000 0.0000 0.0000
Er 0.0000 0.5000 0.5000
Er 0.5000 0.0000 0.5000
Tm 0.5000 0.5000 0.0000
Sb 0.2520 0.0000 0.7496
Sb 0.2527 0.5000 0.2520
Sb 0.7473 0.5000 0.7480
Sb 0.7480 0.0000 0.2504

(5)
First-principles (PBE) data for a geometry-optimized Tb2Y3ErSb6 structure, as listed in Alexandria.

Computed properties:
Magnetic moment = 0.000 μB per formula unit
Crystal system = monoclinic
Energy relative to the elements, uncorrected = -1.1476 eV per atom

abc: 7.6030 7.6030 7.5983
angles: 99.59 99.59 120.01
Atoms (fractional coordinates):
Tb 0.1663 0.8337 0.0000
Tb 0.8337 0.1663 0.0000
Y 0.0000 0.0000 0.5000
Y 0.3324 0.6676 0.5000
Y 0.6676 0.3324 0.5000
Er 0.5000 0.5000 0.0000
Sb 0.0856 0.4171 0.7509
Sb 0.2522 0.2522 0.2502
Sb 0.4171 0.0856 0.7509
Sb 0.5829 0.9144 0.2491
Sb 0.7478 0.7478 0.7498
Sb 0.9144 0.5829 0.2491

(6)
First-principles (PBE) data for a geometry-optimized TbY2Er3Sb6 structure, as listed in Alexandria.

Computed properties:
Magnetic moment = 0.000 μB per formula unit
Crystal system = monoclinic
Energy relative to the elements, uncorrected = -1.1272 eV per atom

abc: 9.7789 9.7789 8.7479
angles: 102.86 102.86 25.84
Atoms (fractional coordinates):
Tb 0.0000 0.0000 0.0000
Y 0.3333 0.3333 0.6666
Y 0.6667 0.6667 0.3334
Er 0.0000 0.0000 0.5000
Er 0.3334 0.3334 0.1668
Er 0.6666 0.6666 0.8332
Sb 0.1660 0.1660 0.5848
Sb 0.1675 0.1675 0.0818
Sb 0.4994 0.4994 0.2520
Sb 0.5006 0.5006 0.7480
Sb 0.8325 0.8325 0.9182
Sb 0.8340 0.8340 0.4152

(7)
First-principles (PBE) data for a geometry-optimized Tb2YEr3Sb6 structure, as listed in Alexandria.

Computed properties:
Magnetic moment = 0.000 μB per formula unit
Crystal system = monoclinic
Energy relative to the elements, uncorrected = -1.1243 eV per atom

abc: 9.7836 9.7836 8.7520
angles: 102.86 102.86 25.84
Atoms (fractional coordinates):
Tb 0.1666 0.1666 0.3330
Tb 0.8334 0.8334 0.6670
Y 0.5000 0.5000 0.0000
Er 0.1667 0.1667 0.8332
Er 0.5000 0.5000 0.5000
Er 0.8333 0.8333 0.1668
Sb 0.0008 0.0008 0.7485
Sb 0.3328 0.3328 0.9190
Sb 0.3341 0.3341 0.4150
Sb 0.6659 0.6659 0.5850
Sb 0.6672 0.6672 0.0810
Sb 0.9992 0.9992 0.2515

(8)
First-principles (PBE) data for a geometry-optimized TbY3Er2Sb6 structure, as listed in Alexandria.

Computed properties:
Magnetic moment = 0.000 μB per formula unit
Crystal system = monoclinic
Energy relative to the elements, uncorrected = -1.1385 eV per atom

abc: 7.5886 7.5886 7.5842
angles: 99.59 99.59 120.00
Atoms (fractional coordinates):
Tb 0.0000 0.0000 0.0000
Y 0.1659 0.8341 0.5000
Y 0.5000 0.5000 0.5000
Y 0.8341 0.1659 0.5000
Er 0.3332 0.6668 0.0000
Er 0.6668 0.3332 0.0000
Sb 0.0829 0.4181 0.2485
Sb 0.2526 0.2526 0.7521
Sb 0.4181 0.0829 0.2485
Sb 0.5819 0.9171 0.7515
Sb 0.7474 0.7474 0.2479
Sb 0.9171 0.5819 0.7515

(9)
First-principles (PBE) data for a geometry-optimized Er6Tc2Sb structure, as listed in Alexandria.

Computed properties:
Magnetic moment = 0.000 μB per formula unit
Crystal system = orthorhombic
Energy relative to the elements, uncorrected = -0.3234 eV per atom

abc: 8.4625 8.4625 8.4625
angles: 112.47 111.77 104.29
Atoms (fractional coordinates):
Er 0.0355 0.2450 0.7905
Er 0.1845 0.2794 0.4638
Er 0.1845 0.7206 0.9051
Er 0.3342 0.0190 0.6848
Er 0.3342 0.6493 0.3152
Er 0.4545 0.2450 0.2095
Er 0.5455 0.7550 0.7905
Er 0.6658 0.3507 0.6848
Er 0.6658 0.9810 0.3152
Er 0.8155 0.2794 0.0949
Er 0.8155 0.7206 0.5362
Er 0.9645 0.7550 0.2095
Tc 0.1168 0.6168 0.5000
Tc 0.3278 0.0000 0.3278
Tc 0.6722 0.0000 0.6722
Tc 0.8832 0.3832 0.5000
Sb 0.0000 0.0000 0.0000
Sb 0.5000 0.5000 0.0000

(10)
First-principles (PBE) data for a geometry-optimized Er6TcSb2 structure, as listed in Alexandria.

Computed properties:
Magnetic moment = 0.000 μB per formula unit
Crystal system = hexagonal
Energy relative to the elements, uncorrected = -0.6212 eV per atom

abc: 8.1091 8.1091 4.2360
angles: 90.00 90.00 120.00
Atoms (fractional coordinates):
Er 0.0000 0.2363 0.0000
Er 0.0000 0.6047 0.5000
Er 0.2363 0.0000 0.0000
Er 0.3953 0.3953 0.5000
Er 0.6047 0.0000 0.5000
Er 0.7637 0.7637 0.0000
Tc 0.0000 0.0000 0.5000
Sb 0.3333 0.6667 0.0000
Sb 0.6667 0.3333 0.0000

(11)
First-principles (PBE) data for a geometry-optimized Er8TcSb2 structure, as listed in Alexandria.

Computed properties:
Magnetic moment = 0.000 μB per formula unit
Crystal system = monoclinic
Energy relative to the elements, uncorrected = -0.3706 eV per atom

abc: 9.8116 9.8116 6.6490
angles: 104.94 104.94 29.12
Atoms (fractional coordinates):
Er 0.0189 0.0189 0.2861
Er 0.2176 0.2176 0.8260
Er 0.3544 0.3544 0.4913
Er 0.4104 0.4104 0.0354
Er 0.5896 0.5896 0.9646
Er 0.6456 0.6456 0.5087
Er 0.7824 0.7824 0.1740
Er 0.9811 0.9811 0.7139
Tc 0.5000 0.5000 0.5000
Sb 0.1809 0.1809 0.2597
Sb 0.8191 0.8191 0.7403

(12)
First-principles (PBE) data for a geometry-optimized ErTcSb structure, as listed in Alexandria.

Computed properties:
Magnetic moment = 0.000 μB per formula unit
Crystal system = orthorhombic
Energy relative to the elements, uncorrected = -0.2769 eV per atom

abc: 5.3523 3.4929 7.1764
angles: 90.00 90.00 90.00
Atoms (fractional coordinates):
Er 0.2500 0.0000 0.2243
Er 0.7500 0.0000 0.7757
Tc 0.0000 0.5000 0.5000
Tc 0.5000 0.5000 0.5000
Sb 0.2500 0.5000 0.8311
Sb 0.7500 0.5000 0.1689